(1)
This record from OQMD describes Hf4FePN2 after structural relaxation. The functional is GGA-PBE.

Structure (POSCAR):
```
Hf4FePN2
1.0
-0.069 2.752 1.726
-2.616 -0.922 -1.693
-4.229 -6.385 10.014
P N Hf Fe
1 2 4 1
Direct
0.667 0.333 0.500
0.333 0.667 0.256
0.333 0.667 0.744
0.000 0.000 0.642
0.667 0.333 0.848
0.667 0.333 0.152
0.000 0.000 0.358
0.000 0.000 0.000
```

Output
Magnetization in μB/cell: 0.95
Energy in eV per atom: -9.863

=====

(2)
This record from OQMD describes Dy4As3 after structural relaxation. The functional is GGA-PBE.

Structure (POSCAR):
```
Dy4As3
1.0
9.193 -8.279 4.804
10.335 -4.884 6.742
7.401 -7.233 8.308
Dy As
4 3
Direct
0.707 0.707 0.707
0.124 0.124 0.124
0.289 0.289 0.289
0.871 0.871 0.871
0.578 0.578 0.578
0.418 0.418 0.418
0.998 0.998 0.998
```

Output
Magnetization in μB/cell: 0.45
Energy in eV per atom: -5.864

=====

(3)
This record from OQMD describes Pr2SmMg3Pt2Au after structural relaxation. The functional is GGA-PBE.

Structure (POSCAR):
```
Pr2SmMg3Pt2Au
1.0
-3.411 0.372 -2.306
-3.416 -5.396 4.183
-0.580 7.334 2.041
Pr Pt Sm Au Mg
2 2 1 1 3
Direct
0.000 0.000 0.418
0.000 0.418 0.000
0.500 0.338 0.665
0.500 0.665 0.338
0.000 0.583 0.583
0.000 0.997 0.997
0.500 0.998 0.753
0.500 0.753 0.998
0.500 0.248 0.248
```

Output
Magnetization in μB/cell: 0.00
Energy in eV per atom: -4.629

=====

(4)
This record from OQMD describes LuNbNi2Sn2 after structural relaxation. The functional is GGA-PBE.

Structure (POSCAR):
```
LuNbNi2Sn2
1.0
-0.599 2.162 3.692
-6.072 -0.731 -0.557
0.490 -7.448 4.441
Lu Ni Nb Sn
2 4 2 4
Direct
0.000 0.005 0.378
0.500 0.505 0.622
0.500 0.239 0.886
0.500 0.263 0.359
0.000 0.763 0.641
0.000 0.739 0.114
0.500 0.494 0.125
0.000 0.994 0.875
0.000 0.490 0.878
0.000 0.509 0.370
0.500 0.990 0.122
0.500 0.009 0.630
```

Output
Magnetization in μB/cell: 0.01
Energy in eV per atom: -6.145

=====

Question: Look up the magnetization of the second one.
Answer: 0.45 μB/cell